First-principles (GGA-PBE) data for crystalline Ge2TeWS at its relaxed geometry, as listed in Alexandria.

Unit cell a=4.9226 b=5.1416 c=4.9226 alpha=90.00 beta=90.00 gamma=90.00
Closest atoms and distances in Å follow each position.
Sites, in units of the cell vectors:
Ge 0.0000 0.0000 0.5000  2 W 2.46
Ge 0.5000 0.0000 0.0000  2 W 2.46
Te 0.0000 0.5000 0.0000  2 W 2.57
S 0.5000 0.5000 0.5000  4 Te 3.48, 8 Ge 3.56
W 0.0000 0.0000 0.0000  4 Ge 2.46, 2 Te 2.57

Calculated density, Mg/m³: 6.51
Total magnetic moment, μB per cell: 0.00
Uncorrected energy, eV per atom: -5.283
Volume, Å³ per atom: 24.92

***

First-principles (GGA-PBE) data for crystalline Y6Ge3TeS2 at its relaxed geometry, as listed in Alexandria.

Unit cell a=4.1303 b=8.3169 c=9.2471 alpha=103.23 beta=102.90 gamma=90.00
Closest atoms and distances in Å follow each position.
Sites, in units of the cell vectors:
Y 0.3251 0.9149 0.6502  3 Ge 2.82-2.93, 2 S 2.96, 1 Te 3.07
Y 0.6668 0.5858 0.3337  3 S 2.88-2.93, 3 Ge 2.91-2.92
Y 0.6749 0.0851 0.3498  3 Ge 2.82-2.93, 2 S 2.96, 1 Te 3.07
Y 0.0019 0.2698 0.0039  3 Ge 2.82-2.91, 1 S 2.93, 2 Te 3.04
Y 0.9981 0.7302 0.9961  3 Ge 2.82-2.91, 1 S 2.93, 2 Te 3.04
Y 0.3332 0.4142 0.6663  3 S 2.88-2.93, 3 Ge 2.91-2.92
Ge 0.5000 0.5000 0.0000  6 Y 2.82-2.92
Ge 0.8361 0.1694 0.6721  6 Y 2.82-2.93
Ge 0.1639 0.8306 0.3279  6 Y 2.82-2.93
Te 0.5000 0.0000 0.0000  6 Y 3.04-3.07
S 0.8312 0.6637 0.6623  6 Y 2.88-2.96
S 0.1688 0.3363 0.3377  6 Y 2.88-2.96

Calculated density, Mg/m³: 5.20
Total magnetic moment, μB per cell: 0.00
Uncorrected energy, eV per atom: -6.696
Volume, Å³ per atom: 25.08

***

First-principles (GGA-PBE) data for crystalline Y6GeTe2S3 at its relaxed geometry, as listed in Alexandria.

Unit cell a=7.1209 b=7.1209 c=7.1485 alpha=99.60 beta=99.60 gamma=119.82
Closest atoms and distances in Å follow each position.
Sites, in units of the cell vectors:
Y 0.9092 0.5989 0.7244  3 S 2.75-2.89, 1 Ge 2.88
Y 0.7843 0.7843 0.2763  3 S 2.81-2.97, 1 Ge 2.88, 2 Te 3.08
Y 0.0908 0.4011 0.2756  3 S 2.75-2.89, 1 Ge 2.88
Y 0.5989 0.9092 0.7244  3 S 2.75-2.89, 1 Ge 2.88
Y 0.2157 0.2157 0.7237  3 S 2.81-2.97, 1 Ge 2.88, 2 Te 3.08
Y 0.4011 0.0908 0.2756  3 S 2.75-2.89, 1 Ge 2.88
Ge 0.0000 0.0000 0.0000  6 Y 2.88
Te 0.3345 0.6655 0.0000  6 Y 3.08-3.09
Te 0.6655 0.3345 0.0000  6 Y 3.08-3.09
S 0.1741 0.8259 0.5000  6 Y 2.75-2.89
S 0.8259 0.1741 0.5000  6 Y 2.75-2.89
S 0.5000 0.5000 0.5000  6 Y 2.75-2.97

Calculated density, Mg/m³: 5.36
Total magnetic moment, μB per cell: 0.00
Uncorrected energy, eV per atom: -6.787
Volume, Å³ per atom: 24.71

***

First-principles (GGA-PBE) data for crystalline YGeTeS2 at its relaxed geometry, as listed in Alexandria.

Unit cell a=4.7711 b=5.3363 c=4.7711 alpha=90.00 beta=90.00 gamma=90.00
Closest atoms and distances in Å follow each position.
Sites, in units of the cell vectors:
Y 0.5000 0.5000 0.5000  4 Te 3.37, 8 S 3.58
Ge 0.0000 0.0000 0.0000  4 S 2.39, 2 Te 2.67
Te 0.0000 0.5000 0.0000  2 Ge 2.67
S 0.0000 0.0000 0.5000  2 Ge 2.39
S 0.5000 0.0000 0.0000  2 Ge 2.39

Calculated density, Mg/m³: 4.83
Total magnetic moment, μB per cell: 0.00
Uncorrected energy, eV per atom: -4.908
Volume, Å³ per atom: 24.29

***

First-principles (GGA-PBE) data for crystalline Y6Ge2TeS3 at its relaxed geometry, as listed in Alexandria.

Unit cell a=4.0882 b=8.2120 c=9.1074 alpha=102.15 beta=102.97 gamma=90.00
Closest atoms and distances in Å follow each position.
Sites, in units of the cell vectors:
Y 0.3251 0.9041 0.6502  3 S 2.80-2.93, 2 Ge 2.85, 1 Te 3.03
Y 0.6674 0.5828 0.3348  3 Ge 2.87-2.89, 3 S 2.90-2.92
Y 0.6749 0.0959 0.3498  3 S 2.80-2.93, 2 Ge 2.85, 1 Te 3.03
Y 0.0032 0.2768 0.0064  3 S 2.75-2.90, 1 Ge 2.84, 2 Te 3.05
Y 0.9968 0.7232 0.9936  3 S 2.75-2.90, 1 Ge 2.84, 2 Te 3.05
Y 0.3326 0.4172 0.6652  3 Ge 2.87-2.89, 3 S 2.90-2.92
Ge 0.8332 0.6661 0.6664  6 Y 2.84-2.89
Ge 0.1668 0.3339 0.3336  6 Y 2.84-2.89
Te 0.5000 0.0000 0.0000  6 Y 3.03-3.05
S 0.5000 0.5000 0.0000  6 Y 2.75-2.90
S 0.8364 0.1646 0.6729  6 Y 2.80-2.93
S 0.1636 0.8354 0.3271  6 Y 2.80-2.93

Calculated density, Mg/m³: 5.15
Total magnetic moment, μB per cell: 0.00
Uncorrected energy, eV per atom: -6.849
Volume, Å³ per atom: 24.24

***

First-principles (GGA-PBE) data for crystalline Y6Ge2Te3S at its relaxed geometry, as listed in Alexandria.

Unit cell a=4.2001 b=8.5620 c=9.5416 alpha=104.75 beta=102.71 gamma=90.00
Closest atoms and distances in Å follow each position.
Sites, in units of the cell vectors:
Y 0.3404 0.9000 0.6808  2 Ge 2.86, 1 S 2.87, 3 Te 3.13-3.16
Y 0.6729 0.5644 0.3458  3 Ge 2.89-2.90, 3 Te 3.12-3.14
Y 0.6596 0.1000 0.3192  2 Ge 2.86, 1 S 2.87, 3 Te 3.13-3.16
Y 0.0083 0.2304 0.0166  1 Ge 2.83, 2 S 2.86, 3 Te 3.14-3.15
Y 0.9917 0.7696 0.9834  1 Ge 2.83, 2 S 2.86, 3 Te 3.14-3.15
Y 0.3271 0.4356 0.6542  3 Ge 2.89-2.90, 3 Te 3.12-3.14
Ge 0.8342 0.6706 0.6684  6 Y 2.83-2.90
Ge 0.1658 0.3294 0.3316  6 Y 2.83-2.90
Te 0.5000 0.5000 0.0000  6 Y 3.12-3.15
Te 0.8347 0.1669 0.6693  6 Y 3.13-3.16
Te 0.1653 0.8331 0.3307  6 Y 3.13-3.16
S 0.5000 0.0000 0.0000  6 Y 2.86-2.87

Calculated density, Mg/m³: 5.62
Total magnetic moment, μB per cell: 0.00
Uncorrected energy, eV per atom: -6.518
Volume, Å³ per atom: 26.93

***

First-principles (GGA-PBE) data for crystalline ZnGe2TeS at its relaxed geometry, as listed in Alexandria.

Unit cell a=5.1225 b=4.6512 c=5.1225 alpha=90.00 beta=90.00 gamma=90.00
Closest atoms and distances in Å follow each position.
Sites, in units of the cell vectors:
S 0.0000 0.0000 0.0000  2 Zn 2.33, 4 Ge 2.56
Ge 0.0000 0.0000 0.5000  2 S 2.56
Ge 0.5000 0.0000 0.0000  2 S 2.56
Te 0.5000 0.5000 0.5000  8 Ge 3.46, 4 Zn 3.62
Zn 0.0000 0.5000 0.0000  2 S 2.33

Calculated density, Mg/m³: 5.04
Total magnetic moment, μB per cell: 0.00
Uncorrected energy, eV per atom: -3.252
Volume, Å³ per atom: 24.41

***

First-principles (GGA-PBE) data for crystalline ZnGeTe2S at its relaxed geometry, as listed in Alexandria.

Unit cell a=5.2840 b=5.2840 c=5.0383 alpha=90.00 beta=90.00 gamma=90.00
Closest atoms and distances in Å follow each position.
Sites, in units of the cell vectors:
S 0.0000 0.0000 0.0000  2 Ge 2.52, 4 Te 2.64
Ge 0.0000 0.0000 0.5000  2 S 2.52
Te 0.0000 0.5000 0.0000  2 S 2.64
Te 0.5000 0.0000 0.0000  2 S 2.64
Zn 0.5000 0.5000 0.5000  8 Te 3.65, 4 Ge 3.74

Calculated density, Mg/m³: 5.02
Total magnetic moment, μB per cell: 0.00
Uncorrected energy, eV per atom: -2.711
Volume, Å³ per atom: 28.13

***

First-principles (GGA-PBE) data for crystalline Th8GeS6 at its relaxed geometry, as listed in Alexandria.

Unit cell a=4.0980 b=10.4223 c=10.4223 alpha=120.00 beta=90.00 gamma=90.00
Closest atoms and distances in Å follow each position.
Sites, in units of the cell vectors:
Th 0.7441 0.9620 0.2845  4 S 2.82-2.96
Th 0.7441 0.7155 0.6775  4 S 2.82-2.96
Th 0.7441 0.3225 0.0380  4 S 2.82-2.96
Th 0.2559 0.0380 0.7155  4 S 2.82-2.96
Th 0.2559 0.2845 0.3225  4 S 2.82-2.96
Th 0.2559 0.6775 0.9620  4 S 2.82-2.96
Th 0.7476 0.3333 0.6667  6 S 2.87
Th 0.2524 0.6667 0.3333  6 S 2.87
Ge 0.5000 0.0000 0.0000  6 Th 3.33
S 0.7524 0.6408 0.1284  6 Th 2.82-2.96
S 0.7524 0.8716 0.5124  6 Th 2.82-2.96
S 0.7524 0.4876 0.3592  6 Th 2.82-2.96
S 0.2476 0.3592 0.8716  6 Th 2.82-2.96
S 0.2476 0.1284 0.4876  6 Th 2.82-2.96
S 0.2476 0.5124 0.6408  6 Th 2.82-2.96

Calculated density, Mg/m³: 9.14
Total magnetic moment, μB per cell: 0.00
Uncorrected energy, eV per atom: -7.184
Volume, Å³ per atom: 25.70

***

First-principles (GGA-PBE) data for crystalline Th3Ge5S12 at its relaxed geometry, as listed in Alexandria.

Unit cell a=13.5489 b=13.5489 c=13.5489 alpha=109.47 beta=109.47 gamma=109.47
Closest atoms and distances in Å follow each position.
Sites, in units of the cell vectors:
Th 0.7500 0.3750 0.1250  8 S 2.91-2.99
Th 0.8750 0.7500 0.1250  8 S 2.91-2.99
Th 0.3750 0.7500 0.6250  8 S 2.91-2.99
Th 0.2500 0.1250 0.3750  8 S 2.91-2.99
Th 0.8750 0.1250 0.2500  8 S 2.91-2.99
Th 0.3750 0.6250 0.2500  8 S 2.91-2.99
Th 0.6250 0.3750 0.7500  8 S 2.91-2.99
Th 0.1250 0.8750 0.7500  8 S 2.91-2.99
Th 0.7500 0.8750 0.6250  8 S 2.91-2.99
Th 0.6250 0.2500 0.3750  8 S 2.91-2.99
Th 0.1250 0.2500 0.8750  8 S 2.91-2.99
Th 0.2500 0.6250 0.8750  8 S 2.91-2.99
Ge 0.1250 0.3750 0.2500  4 S 2.40
Ge 0.0000 0.5000 0.0000  6 S 2.64
Ge 0.0000 0.0000 0.0000  6 S 2.64
Ge 0.3750 0.2500 0.1250  4 S 2.40
Ge 0.5000 0.0000 0.5000  6 S 2.64
Ge 0.5000 0.5000 0.0000  6 S 2.64
Ge 0.1250 0.7500 0.3750  4 S 2.40
Ge 0.7500 0.1250 0.8750  4 S 2.40
Ge 0.7500 0.6250 0.3750  4 S 2.40
Ge 0.3750 0.1250 0.7500  4 S 2.40
Ge 0.6250 0.8750 0.2500  4 S 2.40
Ge 0.5000 0.5000 0.5000  6 S 2.64
Ge 0.5000 0.0000 0.0000  6 S 2.64
Ge 0.0000 0.0000 0.5000  6 S 2.64
Ge 0.2500 0.3750 0.6250  4 S 2.40
Ge 0.2500 0.8750 0.1250  4 S 2.40
Ge 0.0000 0.5000 0.5000  6 S 2.64
Ge 0.8750 0.2500 0.6250  4 S 2.40
Ge 0.6250 0.7500 0.8750  4 S 2.40
Ge 0.8750 0.6250 0.7500  4 S 2.40
S 0.7175 0.1326 0.0405  2 Ge 2.40-2.64
S 0.3231 0.5405 0.4079  2 Ge 2.40-2.64
S 0.9595 0.3674 0.2825  2 Ge 2.40-2.64
S 0.5405 0.2175 0.1326  2 Ge 2.40-2.64
S 0.5848 0.7175 0.6769  2 Ge 2.40-2.64
S 0.9595 0.5921 0.1769  2 Ge 2.40-2.64
S 0.3231 0.7825 0.4152  2 Ge 2.40-2.64
S 0.0921 0.9152 0.1326  2 Ge 2.40-2.64
S 0.5921 0.9595 0.6769  2 Ge 2.40-2.64
S 0.7175 0.5848 0.1769  2 Ge 2.40-2.64
S 0.7825 0.4595 0.3674  2 Ge 2.40-2.64
S 0.8231 0.9079 0.0405  2 Ge 2.40-2.64
S 0.1326 0.7175 0.5405  2 Ge 2.40-2.64
S 0.3674 0.4079 0.0848  2 Ge 2.40-2.64
S 0.0848 0.9079 0.3674  2 Ge 2.40-2.64
S 0.4152 0.1326 0.5921  2 Ge 2.40-2.64
S 0.0848 0.1769 0.2175  2 Ge 2.40-2.64
S 0.4595 0.6769 0.0921  2 Ge 2.40-2.64
S 0.8231 0.9152 0.2825  2 Ge 2.40-2.64
S 0.1326 0.4152 0.0921  2 Ge 2.40-2.64
S 0.3674 0.9595 0.7825  2 Ge 2.40-2.64
S 0.5921 0.6326 0.4152  2 Ge 2.40-2.64
S 0.9079 0.8231 0.5405  2 Ge 2.40-2.64
S 0.7825 0.3231 0.9152  2 Ge 2.40-2.64
S 0.4079 0.3674 0.5848  2 Ge 2.40-2.64
S 0.0921 0.1769 0.4595  2 Ge 2.40-2.64
S 0.2175 0.6769 0.0848  2 Ge 2.40-2.64
S 0.1769 0.0848 0.7175  2 Ge 2.40-2.64
S 0.6326 0.0405 0.2175  2 Ge 2.40-2.64
S 0.8674 0.5848 0.9079  2 Ge 2.40-2.64
S 0.5405 0.3231 0.9079  2 Ge 2.40-2.64
S 0.5848 0.8674 0.4079  2 Ge 2.40-2.64
S 0.9152 0.8231 0.7825  2 Ge 2.40-2.64
S 0.9152 0.0921 0.6326  2 Ge 2.40-2.64
S 0.8674 0.2825 0.4595  2 Ge 2.40-2.64
S 0.1769 0.0921 0.9595  2 Ge 2.40-2.64
S 0.6326 0.5921 0.9152  2 Ge 2.40-2.64
S 0.4079 0.0405 0.3231  2 Ge 2.40-2.64
S 0.2825 0.4152 0.8231  2 Ge 2.40-2.64
S 0.2175 0.5405 0.6326  2 Ge 2.40-2.64
S 0.9079 0.0848 0.8674  2 Ge 2.40-2.64
S 0.6769 0.2175 0.5848  2 Ge 2.40-2.64
S 0.4595 0.7825 0.8674  2 Ge 2.40-2.64
S 0.0405 0.4079 0.8231  2 Ge 2.40-2.64
S 0.4152 0.2825 0.3231  2 Ge 2.40-2.64
S 0.0405 0.6326 0.7175  2 Ge 2.40-2.64
S 0.6769 0.4595 0.5921  2 Ge 2.40-2.64
S 0.2825 0.8674 0.9595  2 Ge 2.40-2.64

Calculated density, Mg/m³: 5.01
Total magnetic moment, μB per cell: 0.00
Uncorrected energy, eV per atom: -5.672
Volume, Å³ per atom: 23.93

***

First-principles (GGA-PBE) data for crystalline ThGeS2 at its relaxed geometry, as listed in Alexandria.

Unit cell a=3.8710 b=3.8710 c=8.5147 alpha=76.86 beta=76.86 gamma=60.00
Closest atoms and distances in Å follow each position.
Sites, in units of the cell vectors:
Ge 0.5000 0.5000 0.5000  6 S 2.67
S 0.1075 0.1075 0.6775  1 Th 2.65, 3 Ge 2.67
S 0.8925 0.8925 0.3225  1 Th 2.65, 3 Ge 2.67
Th 0.0000 0.0000 0.0000  2 S 2.65

Calculated density, Mg/m³: 5.74
Total magnetic moment, μB per cell: 0.00
Uncorrected energy, eV per atom: -5.520
Volume, Å³ per atom: 26.65

***

First-principles (GGA-PBE) data for crystalline ThGeS4 at its relaxed geometry, as listed in Alexandria.

Unit cell a=7.4669 b=7.4665 c=7.4667 alpha=74.45 beta=74.45 gamma=117.63
Closest atoms and distances in Å follow each position.
Sites, in units of the cell vectors:
Th 0.8750 0.6250 0.2500  8 S 2.87-2.90
Th 0.1250 0.3750 0.7500  8 S 2.87-2.90
Ge 0.6250 0.8750 0.7500  4 S 2.24
Ge 0.3750 0.1250 0.2500  4 S 2.24
S 0.2469 0.6787 0.9318  1 Ge 2.24
S 0.6105 0.6787 0.5682  1 Ge 2.24
S 0.1787 0.1105 0.0682  1 Ge 2.24
S 0.7531 0.3212 0.0682  1 Ge 2.24
S 0.1787 0.7469 0.4318  1 Ge 2.24
S 0.8213 0.8895 0.9318  1 Ge 2.24
S 0.3895 0.3213 0.4318  1 Ge 2.24
S 0.8213 0.2530 0.5682  1 Ge 2.24

Calculated density, Mg/m³: 4.56
Total magnetic moment, μB per cell: 0.00
Uncorrected energy, eV per atom: -5.858
Volume, Å³ per atom: 26.29